DFT (PBE) results for a relaxed Sc3HgC crystal.

Unit cell a=4.7112 b=6.1341 c=6.7206 alpha=90.00 beta=90.00 gamma=90.00
Fractional coordinates of all 10 atoms:
Sc  0.2500  0.0107  0.1543
Sc  0.2500  0.4893  0.1543
Sc  0.2500  0.7500  0.5786
Sc  0.7500  0.2500  0.4214
Sc  0.7500  0.5107  0.8457
Sc  0.7500  0.9893  0.8457
Hg  0.2500  0.2500  0.7428
Hg  0.7500  0.7500  0.2572
C  0.2500  0.2500  0.3882
C  0.7500  0.7500  0.6118

energy relative to the lowest polymorph listed for this composition	439	meV per atom
crystal system	orthorhombic
ΔH_f (0 K)	-11.29	kJ per mole of atoms



DFT (PBE) results for a relaxed Sc4SiHgC crystal.

Unit cell a=7.6587 b=7.6587 c=6.2932 alpha=90.00 beta=90.00 gamma=131.26
Fractional coordinates of all 14 atoms:
Sc  0.0000  0.5000  0.0000
Sc  0.0000  0.5000  0.5000
Sc  0.0825  0.9175  0.7500
Sc  0.4120  0.5880  0.7500
Sc  0.5000  0.0000  0.0000
Sc  0.5000  0.0000  0.5000
Sc  0.5880  0.4120  0.2500
Sc  0.9175  0.0825  0.2500
Si  0.1210  0.8790  0.2500
Si  0.8790  0.1210  0.7500
Hg  0.3889  0.6111  0.2500
Hg  0.6111  0.3889  0.7500
C  0.2478  0.7522  0.7500
C  0.7522  0.2478  0.2500

crystal system	orthorhombic
energy relative to the elements, uncorrected	-0.523	eV/atom



It is found that the magnetization values, taken in the order of the records, are 0.00; 0.00 μB/f.u..